! Ga3Si5Au12 | Alexandria | PBE-GGA | optimized geometry; values from VASP
! Total moment (μB/cell): 0.00
! Theoretical density (g/cm3): 10.9
! Formation energy from raw total energies (eV/atom): 0.033
! Fermi-level density of states (states/eV/cell): 38.37
&SYSTEM
  ibrav = 0, nat = 80, ntyp = 3
/
ATOMIC_SPECIES
Ga 69.72 Ga.upf
Au 196.97 Au.upf
Si 28.09 Si.upf
ATOMIC_POSITIONS angstrom
Ga -0.613 3.612 1.988
Ga 3.059 4.550 8.407
Ga -2.657 6.469 4.903
Ga 4.235 7.511 5.138
Ga -9.189 4.024 0.339
Ga -4.497 1.066 8.910
Ga 0.047 1.120 8.467
Ga -5.157 3.558 2.430
Ga -2.453 -1.792 5.994
Ga 4.079 0.654 10.558
Ga -9.345 -2.833 5.760
Ga -8.169 0.128 2.490
Au 0.731 3.714 9.436
Au 1.768 2.479 6.930
Au -0.704 8.524 5.224
Au 2.624 -0.103 8.439
Au -0.748 -1.588 8.051
Au -6.879 2.198 3.968
Au 2.052 3.501 2.998
Au -7.162 1.177 7.900
Au -8.537 1.449 -0.011
Au -4.407 -3.846 5.673
Au -3.828 -1.492 8.475
Au 4.557 2.331 8.301
Au -1.282 6.169 2.422
Au 3.955 9.944 3.675
Au -1.501 -4.290 6.169
Au -4.398 7.086 7.077
Au -6.372 3.682 0.046
Au 2.552 7.388 3.057
Au 5.026 5.293 6.748
Au -3.134 4.254 0.817
Au 2.119 -3.922 9.758
Au -4.243 4.099 4.890
Au -2.691 2.223 2.953
Au -0.867 0.579 6.008
Au -3.609 8.968 4.728
Au -2.419 2.455 7.944
Au -0.712 -2.408 3.821
Au 1.262 0.996 10.852
Au -9.065 -5.266 7.223
Au 0.786 -6.407 8.790
Au -3.968 0.410 6.185
Au -5.841 0.964 1.462
Au -1.514 6.377 7.325
Au -10.136 -0.615 4.150
Au -5.897 11.084 2.107
Au 3.427 3.229 10.909
Au -4.362 6.266 2.847
Au -1.976 0.424 10.080
Au -5.526 3.532 8.713
Au -7.229 8.600 1.140
Au -1.142 4.268 4.713
Au 0.416 1.146 2.185
Au -7.734 4.780 2.458
Au -3.596 -1.699 3.573
Au -7.662 -2.710 7.840
Au -7.323 -1.397 4.747
Au -9.667 2.347 2.597
Au 2.213 6.074 6.150
Si -5.720 -3.014 3.712
Si 3.165 5.353 1.736
Si -5.313 -3.299 7.850
Si 0.406 -0.284 4.138
Si 1.578 -2.257 8.085
Si -3.676 10.365 2.753
Si -2.555 2.339 5.449
Si -3.626 0.181 2.047
Si -5.516 4.962 6.759
Si -6.228 1.401 -0.971
Si 1.223 4.081 5.197
Si 0.000 0.000 0.000
Si -3.063 6.754 0.765
Si -1.434 -5.688 8.145
Si 0.203 7.977 3.047
Si -6.333 0.597 5.700
Si -1.485 4.496 8.850
Si 0.508 -4.415 4.684
Si 3.672 0.938 6.420
Si -6.689 6.935 2.813
CELL_PARAMETERS angstrom
-12.455 2.801 -1.942
1.016 -8.830 9.367
6.329 10.707 3.473